1.
A plane-wave DFT calculation with GGA-PBEsol was carried out for an optimized crystal structure of CeMgPt.

Calculated values
total magnetic moment	0.48	μB per formula unit
formation energy from the elements	-0.752	eV/atom

Cell lengths 7.3997, 7.3997, 4.0429 Å; angles 90.00, 90.00, 120.00 degrees
Fractional coordinates of all 9 atoms:
1 Ce 0.0000 0.4157 0.0000
2 Ce 0.4157 0.0000 0.0000
3 Ce 0.5843 0.5843 0.0000
4 Mg 0.0000 0.7589 0.5000
5 Mg 0.2411 0.2411 0.5000
6 Mg 0.7589 0.0000 0.5000
7 Pt 0.0000 0.0000 0.0000
8 Pt 0.3333 0.6667 0.5000
9 Pt 0.6667 0.3333 0.5000

=====

2.
A plane-wave DFT calculation with GGA-PBEsol was carried out for an optimized crystal structure of CeMgRh.

Calculated values
total magnetic moment	0.60	μB per formula unit
formation energy from the elements	-0.455	eV/atom

Cell lengths 7.2617, 7.2617, 4.0327 Å; angles 90.00, 90.00, 120.00 degrees
Fractional coordinates of all 9 atoms:
1 Ce 0.0000 0.4180 0.0000
2 Ce 0.4180 0.0000 0.0000
3 Ce 0.5820 0.5820 0.0000
4 Mg 0.0000 0.7606 0.5000
5 Mg 0.2394 0.2394 0.5000
6 Mg 0.7606 0.0000 0.5000
7 Rh 0.0000 0.0000 0.0000
8 Rh 0.3333 0.6667 0.5000
9 Rh 0.6667 0.3333 0.5000

=====

3.
A plane-wave DFT calculation with GGA-PBEsol was carried out for an optimized crystal structure of CeTmMg2.

Calculated values
total magnetic moment	0.78	μB per formula unit
formation energy from the elements	0.048	eV/atom

Cell lengths 5.2794, 5.2794, 5.2794 Å; angles 60.00, 60.00, 60.00 degrees
Fractional coordinates of all 4 atoms:
1 Ce 0.0000 0.0000 0.0000
2 Tm 0.5000 0.5000 0.5000
3 Mg 0.2500 0.2500 0.2500
4 Mg 0.7500 0.7500 0.7500

=====

4.
A plane-wave DFT calculation with GGA-PBEsol was carried out for an optimized crystal structure of CeY4Mg5.

Calculated values
total magnetic moment	0.72	μB per formula unit
formation energy from the elements	-0.043	eV/atom

Cell lengths 3.7518, 3.7518, 18.8687 Å; angles 90.00, 90.00, 90.00 degrees
Fractional coordinates of all 10 atoms:
1 Ce 0.0000 0.0000 0.0000
2 Y 0.0000 0.0000 0.2007
3 Y 0.0000 0.0000 0.4010
4 Y 0.0000 0.0000 0.5990
5 Y 0.0000 0.0000 0.7993
6 Mg 0.5000 0.5000 0.1028
7 Mg 0.5000 0.5000 0.3010
8 Mg 0.5000 0.5000 0.5000
9 Mg 0.5000 0.5000 0.6990
10 Mg 0.5000 0.5000 0.8972

=====

5.
A plane-wave DFT calculation with GGA-PBEsol was carried out for an optimized crystal structure of Ce2MnN3.

Calculated values
total magnetic moment	0.77	μB per formula unit
raw formation energy	-1.379	eV per atom

Cell lengths 6.6705, 6.6705, 6.6705 Å; angles 150.19, 148.34, 44.04 degrees
Fractional coordinates of all 6 atoms:
1 Ce 0.1462 0.1462 0.0000
2 Ce 0.8538 0.8538 0.0000
3 Mn 0.5000 0.5000 0.0000
4 N 0.0000 0.5000 0.5000
5 N 0.3364 0.3364 0.0000
6 N 0.6636 0.6636 0.0000

=====

6.
A plane-wave DFT calculation with GGA-PBEsol was carried out for an optimized crystal structure of Ce2MnSe2O2.

Calculated values
total magnetic moment	2.97	μB per formula unit
raw formation energy	-2.203	eV per atom

Cell lengths 3.8829, 3.8829, 8.5821 Å; angles 90.00, 90.00, 90.00 degrees
Fractional coordinates of all 7 atoms:
1 Ce 0.0000 0.5000 0.1459
2 Ce 0.5000 0.0000 0.8541
3 Mn 0.5000 0.5000 0.5000
4 Se 0.0000 0.5000 0.6771
5 Se 0.5000 0.0000 0.3229
6 O 0.0000 0.0000 0.0000
7 O 0.5000 0.5000 0.0000

=====

7.
A plane-wave DFT calculation with GGA-PBEsol was carried out for an optimized crystal structure of Sr3CeMn4O12.

Calculated values
total magnetic moment	13.01	μB per formula unit
raw formation energy	-2.400	eV per atom

Cell lengths 6.5870, 6.5870, 6.5870 Å; angles 109.47, 109.47, 109.47 degrees
Fractional coordinates of all 20 atoms:
1 Sr 0.0000 0.5000 0.5000
2 Sr 0.5000 0.0000 0.5000
3 Sr 0.5000 0.5000 0.0000
4 Ce 0.0000 0.0000 0.0000
5 Mn 0.0000 0.0000 0.5000
6 Mn 0.0000 0.5000 0.0000
7 Mn 0.5000 0.0000 0.0000
8 Mn 0.5000 0.5000 0.5000
9 O 0.0000 0.2433 0.7567
10 O 0.0000 0.7567 0.2433
11 O 0.2433 0.0000 0.7567
12 O 0.2433 0.2433 0.4865
13 O 0.2433 0.4865 0.2433
14 O 0.2433 0.7567 0.0000
15 O 0.4865 0.2433 0.2433
16 O 0.5135 0.7567 0.7567
17 O 0.7567 0.0000 0.2433
18 O 0.7567 0.2433 0.0000
19 O 0.7567 0.5135 0.7567
20 O 0.7567 0.7567 0.5135

=====

8.
A plane-wave DFT calculation with GGA-PBEsol was carried out for an optimized crystal structure of Ce2Mn3Si4Pd.

Calculated values
total magnetic moment	2.63	μB per formula unit
raw formation energy	-0.632	eV per atom

Cell lengths 3.9666, 3.9666, 10.0171 Å; angles 90.00, 90.00, 90.00 degrees
Fractional coordinates of all 10 atoms:
1 Ce 0.0000 0.5000 0.2468
2 Ce 0.5000 0.0000 0.7532
3 Mn 0.0000 0.0000 0.0000
4 Mn 0.5000 0.5000 0.0000
5 Mn 0.5000 0.5000 0.5000
6 Si 0.0000 0.5000 0.6277
7 Si 0.0000 0.5000 0.8749
8 Si 0.5000 0.0000 0.1251
9 Si 0.5000 0.0000 0.3723
10 Pd 0.0000 0.0000 0.5000

=====

Total DFT energy (no corrections) for every record listed, in sequence, given in eV/atom: -5.844, -5.938, -3.684, -4.290, -9.467, -8.082, -8.108, -7.774.